(1)
BeTlCoOs | PBE | optimized geometry

Geometry as POSCAR:
```
BeTlCoOs
1.0
0.0000 3.0311 3.0311
3.0311 0.0000 3.0311
3.0311 3.0311 0.0000
Be Tl Co Os
1 1 1 1
Direct
0.0000 0.0000 0.0000
0.2500 0.2500 0.2500
0.5000 0.5000 0.5000
0.7500 0.7500 0.7500
```

Total magnetic moment in μB per formula unit: 1.95
Theoretical density in g/cm³: 13.79
Excess energy over the best structure of this formula in the dataset in meV/atom: 0.0
Crystal system: cubic
E_tot in eV per atom: -5.46



(2)
BeCoPb | PBE | optimized geometry

Geometry as POSCAR:
```
BeCoPb
1.0
0.0000 2.8489 2.8489
2.8489 0.0000 2.8489
2.8489 2.8489 0.0000
Be Co Pb
1 1 1
Direct
0.0000 0.0000 0.0000
0.7500 0.7500 0.7500
0.2500 0.2500 0.2500
```

Total magnetic moment in μB per formula unit: 0.52
Theoretical density in g/cm³: 9.88
Crystal system: cubic
E_tot in eV per atom: -4.34